1.
MgTlGa after structural relaxation. Source: Alexandria, functional PBE.

Cell: 3.3610 5.7430 8.1251 Å, 71.52 89.02 73.30°
With the nearest neighbours (Å) after each atom.
Space group P1 (No. 1)
Unique sites:
Mg  0.0000  0.0000  0.0000  5 Ga 2.95-3.08
Mg  0.2510  0.5064  0.7403  2 Ga 2.84-2.85, 1 Tl 3.02
Tl  0.4962  0.0283  0.6339  5 Mg 3.02-3.38, 2 Ga 3.10-3.31, 2 Tl 3.36
Tl  0.6850  0.6223  0.3764  4 Ga 3.09-3.31, 2 Mg 3.24-3.32, 2 Tl 3.36
Ga  0.3863  0.2164  0.2312  2 Ga 2.69-2.73
Ga  0.7194  0.5545  0.0104  2 Ga 2.69-2.73, 4 Mg 2.84-2.95

Size of the total moment   0.0 μB/f.u.
DFT total energy   -2.3354 eV per atom
Energy of formation   -0.0061 eV/atom

***

2.
La2Er4Co after structural relaxation. Source: Alexandria, functional PBE.

Cell: 5.1807 5.1807 17.0999 Å, 90.00 90.00 90.00°
With the nearest neighbours (Å) after each atom.
Space group I4/mmm (No. 139)
Unique sites:
La  0.0000  0.0000  0.1440  9 Er 3.49-3.67
Er  0.0000  0.0000  0.3481  1 Co 2.60
Er  0.0000  0.5000  0.0000  2 Co 2.59
Co  0.0000  0.0000  0.5000  6 Er 2.59-2.60

Size of the total moment   0.0 μB/f.u.
DFT total energy   -4.8839 eV per atom
Energy of formation   0.1464 eV/atom

***

3.
CaCrRe2 after structural relaxation. Source: Alexandria, functional PBE.

Cell: 3.0243 4.8181 9.2340 Å, 90.00 90.00 90.00°
With the nearest neighbours (Å) after each atom.
Space group Imm2 (No. 44)
Unique sites:
Ca  0.0000  0.0000  0.0000  8 Re 2.84-3.16, 4 Cr 2.96-3.18, 2 Ca 3.02
Cr  0.0000  0.5000  0.7760  2 Re 2.52
Re  0.0000  0.0000  0.4936  2 Cr 2.52, 2 Re 2.59
Re  0.0000  0.5000  0.2213  2 Re 2.59, 4 Cr 2.89

Size of the total moment   1.0 μB/f.u.
DFT total energy   -8.4338 eV per atom
Energy of formation   0.6965 eV/atom

***

4.
Ta2ZnP after structural relaxation. Source: Alexandria, functional PBE.

Cell: 3.6630 3.7916 4.5394 Å, 90.00 90.00 90.00°
With the nearest neighbours (Å) after each atom.
Space group Pmmm (No. 47)
Unique sites:
Ta  0.0000  0.0000  0.0000  4 P 2.64, 4 Ta 2.92
Ta  0.5000  0.0000  0.5000  4 Zn 2.64, 4 Ta 2.92
Zn  0.0000  0.5000  0.5000  4 Ta 2.64, 4 P 2.92
P  0.5000  0.5000  0.0000  4 Ta 2.64, 4 Zn 2.92

Size of the total moment   0.0 μB/f.u.
DFT total energy   -7.6291 eV per atom
Energy of formation   -0.0318 eV/atom